Here is CaMgSi3 after structural relaxation from the Alexandria database. Energies are from GGA-PBE.

The total magnetization is 0.000 μB per formula unit. Its polymorph energy (0 for the lowest one) is 0.0 meV per atom. The density of states at the Fermi level comes out at 3.12 states/eV/cell.

Unit cell a=4.918 b=4.918 c=4.918 alpha=90.00 beta=90.00 gamma=90.00
Space group Pm-3m (No. 221)
Inequivalent atoms, fractional coordinates:
Ca  0.000  0.000  0.000 x1
Mg  0.500  0.500  0.500 x1
Si  0.000  0.500  0.500 x3

***

Here is Ca2Tl2Pb after structural relaxation from the Alexandria database. Energies are from GGA-PBE.

The total magnetization is 0.000 μB per formula unit. Its polymorph energy (0 for the lowest one) is 99.8 meV per atom. The density of states at the Fermi level comes out at 5.94 states/eV/cell. The formation energy comes out at -22.2 kJ per mole of atoms.

Unit cell a=8.829 b=8.829 c=4.038 alpha=90.00 beta=90.00 gamma=90.00
Space group P4/mbm (No. 127)
Inequivalent atoms, fractional coordinates:
Ca  0.157  0.343  0.000 x4
Tl  0.144  0.644  0.500 x4
Pb  0.000  0.000  0.000 x2

***

Here is Ti3FeRh after structural relaxation from the Alexandria database. Energies are from GGA-PBE.

The total magnetization is 0.000 μB per formula unit. Its polymorph energy (0 for the lowest one) is 618.4 meV per atom. The density of states at the Fermi level comes out at 8.12 states/eV/cell. The formation energy comes out at 21.3 kJ per mole of atoms.

Unit cell a=4.401 b=4.401 c=4.401 alpha=90.00 beta=90.00 gamma=90.00
Space group Pm-3m (No. 221)
Inequivalent atoms, fractional coordinates:
Ti  0.000  0.000  0.500 x3
Fe  0.000  0.000  0.000 x1
Rh  0.500  0.500  0.500 x1